(1)
Density functional theory data (GGA-PBE) for an optimized crystal structure of FeOs2I.

Unit cell a=5.574 b=5.574 c=6.824 alpha=65.89 beta=65.89 gamma=90.00
Sites, in units of the cell vectors:
I 0.000 0.000 0.000
I 0.750 0.250 0.500
Os 0.570 0.125 0.250
Os 0.180 0.625 0.250
Os 0.375 0.430 0.750
Os 0.875 0.820 0.750
Fe 0.500 0.500 0.000
Fe 0.250 0.750 0.500

Results
Fermi-level density of states   8.83 states/eV/f.u.
Formation energy from raw total energies   1507 meV per atom
Energy above the lowest structure with this stoichiometry   210.8 meV per atom
Electronic total energy   -6.611 eV per atom

=====

(2)
Density functional theory data (GGA-PBE) for an optimized crystal structure of FeOsI2.

Unit cell a=4.792 b=4.792 c=4.792 alpha=60.00 beta=60.00 gamma=60.00
Sites, in units of the cell vectors:
I 0.250 0.250 0.250
I 0.750 0.750 0.750
Os 0.500 0.500 0.500
Fe 0.000 0.000 0.000

Results
Fermi-level density of states   3.43 states/eV/f.u.
Formation energy from raw total energies   1359 meV per atom
Energy above the lowest structure with this stoichiometry   133.8 meV per atom
Electronic total energy   -4.339 eV per atom

=====

(3)
Density functional theory data (GGA-PBE) for an optimized crystal structure of FeOsI2.

Unit cell a=5.842 b=5.842 c=7.074 alpha=65.61 beta=65.61 gamma=90.00
Sites, in units of the cell vectors:
I 0.607 0.125 0.250
I 0.143 0.625 0.250
I 0.375 0.393 0.750
I 0.875 0.857 0.750
Os 0.000 0.000 0.000
Os 0.750 0.250 0.500
Fe 0.500 0.500 0.000
Fe 0.250 0.750 0.500

Results
Fermi-level density of states   5.06 states/eV/f.u.
Formation energy from raw total energies   1226 meV per atom
Energy above the lowest structure with this stoichiometry   0.0 meV per atom
Electronic total energy   -4.473 eV per atom

=====

(4)
Density functional theory data (GGA-PBE) for an optimized crystal structure of FeOs2I.

Unit cell a=4.478 b=4.478 c=4.478 alpha=60.00 beta=60.00 gamma=60.00
Sites, in units of the cell vectors:
I 0.500 0.500 0.500
Os 0.250 0.250 0.250
Os 0.750 0.750 0.750
Fe 0.000 0.000 0.000

Results
Fermi-level density of states   5.81 states/eV/f.u.
Formation energy from raw total energies   1296 meV per atom
Energy above the lowest structure with this stoichiometry   0.0 meV per atom
Electronic total energy   -6.822 eV per atom

=====

(5)
Density functional theory data (GGA-PBE) for an optimized crystal structure of FeOsI3.

Unit cell a=5.390 b=5.390 c=5.390 alpha=90.00 beta=90.00 gamma=90.00
Sites, in units of the cell vectors:
I 0.000 0.500 0.000
I 0.000 0.000 0.500
I 0.500 0.000 0.000
Os 0.000 0.000 0.000
Fe 0.500 0.500 0.500

Results
Fermi-level density of states   14.18 states/eV/f.u.
Formation energy from raw total energies   1230 meV per atom
Energy above the lowest structure with this stoichiometry   0.0 meV per atom
Electronic total energy   -3.638 eV per atom

=====

(6)
Density functional theory data (GGA-PBE) for an optimized crystal structure of FeOs2I2.

Unit cell a=7.778 b=7.778 c=3.198 alpha=90.00 beta=90.00 gamma=90.00
Sites, in units of the cell vectors:
I 0.327 0.827 0.000
I 0.827 0.673 0.000
I 0.673 0.173 0.000
I 0.173 0.327 0.000
Os 0.129 0.629 0.500
Os 0.629 0.871 0.500
Os 0.871 0.371 0.500
Os 0.371 0.129 0.500
Fe 0.000 0.000 0.000
Fe 0.500 0.500 0.000

Results
Fermi-level density of states   5.38 states/eV/f.u.
Formation energy from raw total energies   1754 meV per atom
Energy above the lowest structure with this stoichiometry   205.7 meV per atom
Electronic total energy   -5.051 eV per atom

=====

(7)
Density functional theory data (GGA-PBE) for an optimized crystal structure of FeOs3I.

Unit cell a=4.763 b=4.763 c=4.763 alpha=90.00 beta=90.00 gamma=90.00
Sites, in units of the cell vectors:
I 0.000 0.000 0.000
Os 0.000 0.500 0.000
Os 0.000 0.000 0.500
Os 0.500 0.000 0.000
Fe 0.500 0.500 0.500

Results
Fermi-level density of states   11.13 states/eV/f.u.
Formation energy from raw total energies   3297 meV per atom
Electronic total energy   -5.443 eV per atom

=====

(8)
Density functional theory data (GGA-PBE) for an optimized crystal structure of FeOs2I2.

Unit cell a=3.494 b=3.494 c=9.105 alpha=78.94 beta=78.94 gamma=90.00
Sites, in units of the cell vectors:
I 0.408 0.408 0.185
I 0.592 0.592 0.815
Os 0.750 0.250 0.500
Os 0.250 0.750 0.500
Fe 0.000 0.000 0.000

Results
Fermi-level density of states   9.60 states/eV/f.u.
Formation energy from raw total energies   1548 meV per atom
Energy above the lowest structure with this stoichiometry   0.0 meV per atom
Electronic total energy   -5.256 eV per atom

=====

(9)
Density functional theory data (GGA-PBE) for an optimized crystal structure of Fe2OsI.

Unit cell a=4.383 b=4.383 c=4.383 alpha=60.00 beta=60.00 gamma=60.00
Sites, in units of the cell vectors:
I 0.000 0.000 0.000
Os 0.500 0.500 0.500
Fe 0.250 0.250 0.250
Fe 0.750 0.750 0.750

Results
Fermi-level density of states   2.90 states/eV/f.u.
Formation energy from raw total energies   1112 meV per atom
Energy above the lowest structure with this stoichiometry   0.0 meV per atom
Electronic total energy   -6.315 eV per atom

=====

(10)
Density functional theory data (GGA-PBE) for an optimized crystal structure of Fe2OsI.

Unit cell a=5.645 b=5.645 c=6.533 alpha=64.40 beta=64.40 gamma=90.00
Sites, in units of the cell vectors:
I 0.500 0.500 0.000
I 0.250 0.750 0.500
Os 0.000 0.000 0.000
Os 0.750 0.250 0.500
Fe 0.662 0.125 0.250
Fe 0.088 0.625 0.250
Fe 0.375 0.338 0.750
Fe 0.875 0.912 0.750

Results
Fermi-level density of states   3.63 states/eV/f.u.
Formation energy from raw total energies   1126 meV per atom
Energy above the lowest structure with this stoichiometry   14.6 meV per atom
Electronic total energy   -6.300 eV per atom

=====

(11)
Density functional theory data (GGA-PBE) for an optimized crystal structure of FeOs2PbI.

Unit cell a=4.845 b=5.807 c=4.845 alpha=90.00 beta=90.00 gamma=90.00
Sites, in units of the cell vectors:
Pb 0.000 0.500 0.000
I 0.000 0.000 0.000
Os 0.000 0.000 0.500
Os 0.500 0.000 0.000
Fe 0.500 0.500 0.500

Results
Fermi-level density of states   8.49 states/eV/f.u.
Formation energy from raw total energies   2636 meV per atom
Electronic total energy   -4.600 eV per atom

=====

(12)
Density functional theory data (GGA-PBE) for an optimized crystal structure of FeOsPtI2.

Unit cell a=5.233 b=4.709 c=5.233 alpha=90.00 beta=90.00 gamma=90.00
Sites, in units of the cell vectors:
I 0.000 0.000 0.500
I 0.500 0.000 0.000
Os 0.000 0.000 0.000
Fe 0.000 0.500 0.000
Pt 0.500 0.500 0.500

Results
Fermi-level density of states   7.73 states/eV/f.u.
Formation energy from raw total energies   1510 meV per atom
Electronic total energy   -4.257 eV per atom

=====

(13)
Density functional theory data (GGA-PBE) for an optimized crystal structure of Rb2FeOsI6.

Unit cell a=8.004 b=8.004 c=7.965 alpha=59.83 beta=59.83 gamma=90.00
Sites, in units of the cell vectors:
I 0.246 0.246 0.509
I 0.754 0.754 0.491
I 0.244 0.244 0.000
I 0.756 0.756 0.000
I 0.756 0.244 0.000
I 0.244 0.756 0.000
Os 0.000 0.000 0.000
Fe 0.500 0.500 0.000
Rb 0.750 0.250 0.500
Rb 0.250 0.750 0.500

Results
Fermi-level density of states   4.98 states/eV/f.u.
Formation energy from raw total energies   -306 meV per atom
Electronic total energy   -3.398 eV per atom

=====

(14)
Density functional theory data (GGA-PBE) for an optimized crystal structure of FeOsSI2.

Unit cell a=5.250 b=3.958 c=5.250 alpha=90.00 beta=90.00 gamma=90.00
Sites, in units of the cell vectors:
I 0.000 0.000 0.500
I 0.500 0.000 0.000
S 0.000 0.500 0.000
Os 0.500 0.500 0.500
Fe 0.000 0.000 0.000

Results
Fermi-level density of states   8.23 states/eV/f.u.
Formation energy from raw total energies   1346 meV per atom
Electronic total energy   -4.039 eV per atom

=====

(15)
Density functional theory data (GGA-PBE) for an optimized crystal structure of TlFeOsI2.

Unit cell a=6.225 b=5.195 c=6.225 alpha=90.00 beta=90.00 gamma=90.00
Sites, in units of the cell vectors:
I 0.000 0.000 0.500
I 0.500 0.000 0.000
Tl 0.000 0.000 0.000
Os 0.500 0.500 0.500
Fe 0.000 0.500 0.000

Results
Fermi-level density of states   7.92 states/eV/f.u.
Formation energy from raw total energies   1988 meV per atom
Electronic total energy   -3.044 eV per atom

=====

(16)
Density functional theory data (GGA-PBE) for an optimized crystal structure of FeP3I.

Unit cell a=4.505 b=4.505 c=4.505 alpha=90.00 beta=90.00 gamma=90.00
Sites, in units of the cell vectors:
I 0.500 0.500 0.500
P 0.000 0.500 0.000
P 0.000 0.000 0.500
P 0.500 0.000 0.000
Fe 0.000 0.000 0.000

Results
Fermi-level density of states   4.81 states/eV/f.u.
Formation energy from raw total energies   595 meV per atom
Energy above the lowest structure with this stoichiometry   0.0 meV per atom
Electronic total energy   -4.653 eV per atom

=====

(17)
Density functional theory data (GGA-PBE) for an optimized crystal structure of FeP2I.

Unit cell a=6.005 b=6.005 c=6.664 alpha=63.22 beta=63.22 gamma=90.00
Sites, in units of the cell vectors:
I 0.000 0.000 0.000
I 0.750 0.250 0.500
P 0.484 0.125 0.250
P 0.266 0.625 0.250
P 0.375 0.516 0.750
P 0.875 0.734 0.750
Fe 0.500 0.500 0.000
Fe 0.250 0.750 0.500

Results
Fermi-level density of states   1.75 states/eV/f.u.
Formation energy from raw total energies   242 meV per atom
Energy above the lowest structure with this stoichiometry   0.0 meV per atom
Electronic total energy   -4.966 eV per atom

=====

(18)
Density functional theory data (GGA-PBE) for an optimized crystal structure of FeP2I.

Unit cell a=4.534 b=4.534 c=4.534 alpha=60.00 beta=60.00 gamma=60.00
Sites, in units of the cell vectors:
I 0.500 0.500 0.500
P 0.250 0.250 0.250
P 0.750 0.750 0.750
Fe 0.000 0.000 0.000

Results
Fermi-level density of states   4.68 states/eV/f.u.
Formation energy from raw total energies   1246 meV per atom
Energy above the lowest structure with this stoichiometry   1004.5 meV per atom
Electronic total energy   -3.962 eV per atom

=====

(19)
Density functional theory data (GGA-PBE) for an optimized crystal structure of FeP2PdI.

Unit cell a=4.157 b=5.591 c=4.157 alpha=90.00 beta=90.00 gamma=90.00
Sites, in units of the cell vectors:
I 0.500 0.500 0.500
P 0.000 0.000 0.500
P 0.500 0.000 0.000
Fe 0.000 0.000 0.000
Pd 0.000 0.500 0.000

Results
Fermi-level density of states   5.51 states/eV/f.u.
Formation energy from raw total energies   365 meV per atom
Electronic total energy   -4.840 eV per atom

=====

(20)
Density functional theory data (GGA-PBE) for an optimized crystal structure of FeSbP2I.

Unit cell a=5.092 b=5.696 c=5.092 alpha=90.00 beta=90.00 gamma=90.00
Sites, in units of the cell vectors:
I 0.000 0.000 0.000
Sb 0.000 0.500 0.000
Fe 0.500 0.500 0.500
P 0.000 0.000 0.500
P 0.500 0.000 0.000

Results
Fermi-level density of states   5.87 states/eV/f.u.
Formation energy from raw total energies   1849 meV per atom
Electronic total energy   -3.142 eV per atom